Entry from Alexandria via LeMat-Bulk: an optimized crystal structure of TaH2Ru (GGA-PBE).

a = 4.959 Å, b = 2.907 Å, c = 9.916 Å
α = 90.00°, β = 90.00°, γ = 90.00°
Space group Pnma (No. 62)
Inequivalent atoms, fractional coordinates:
Ta 0.092 0.250 0.143 x4
H 0.156 0.250 0.748 x4
H 0.242 0.750 0.006 x4
Ru 0.104 0.750 0.394 x4

Values from the calculation:
VASP energy, eV per atom: -7.10
Energy above the most stable polymorph in this dataset, meV/atom: 0
Size of the total moment, μB per atom: 0.00